No. 1
Computed, not measured: a relaxed ZrSi2Au crystal at the GGA-PBE level of DFT.

Values from the calculation:
* SG: R3m, No. 160
* calculated volume: 70.5 Å³ per cell
* formation energy without anion corrections: -0.0261 eV/atom
* raw total energy: -5.69 eV per atom
* crystal system: trigonal
* N(E_F): 2.738 states/eV/f.u.

Cell lengths 8.6224, 8.6224, 8.6224 Å; angles 20.76, 20.76, 20.76 degrees
Fractional positions:
Zr (0.0000, 0.0000, 0.0000)
Si (0.2453, 0.2453, 0.2453)
Si (0.5068, 0.5068, 0.5068)
Au (0.7637, 0.7637, 0.7637)

***

No. 2
Computed, not measured: a relaxed ZrSi2Au crystal at the GGA-PBE level of DFT.

Values from the calculation:
* SG: Pmmm, No. 47
* calculated volume: 69.5 Å³ per cell
* formation energy without anion corrections: -0.0974 eV/atom
* raw total energy: -5.77 eV per atom
* crystal system: orthorhombic
* N(E_F): 3.148 states/eV/f.u.

Cell lengths 3.0949, 3.7613, 5.9661 Å; angles 90.00, 90.00, 90.00 degrees
Fractional positions:
Zr (0.0000, 0.0000, 0.0000)
Si (0.5000, 0.5000, 0.2755)
Si (0.5000, 0.5000, 0.7245)
Au (0.0000, 0.0000, 0.5000)

***

No. 3
Computed, not measured: a relaxed ZrSi2Au crystal at the GGA-PBE level of DFT.

Values from the calculation:
* SG: C2/m, No. 12
* calculated volume: 73.0 Å³ per cell
* formation energy without anion corrections: -0.1249 eV/atom
* raw total energy: -5.79 eV per atom
* crystal system: monoclinic
* N(E_F): 2.598 states/eV/f.u.

Cell lengths 5.0709, 5.0709, 5.5646 Å; angles 112.76, 112.76, 33.90 degrees
Fractional positions:
Zr (0.0000, 0.0000, 0.0000)
Si (0.2300, 0.2300, 0.7978)
Si (0.7700, 0.7700, 0.2022)
Au (0.5000, 0.5000, 0.5000)

***

No. 4
Computed, not measured: a relaxed Zr2SiAu crystal at the GGA-PBE level of DFT.

Values from the calculation:
* SG: P4mm, No. 99
* calculated volume: 77.8 Å³ per cell
* formation energy without anion corrections: -0.2067 eV/atom
* raw total energy: -6.66 eV per atom
* crystal system: tetragonal
* N(E_F): 2.160 states/eV/f.u.

Cell lengths 3.1380, 3.1380, 7.8984 Å; angles 90.00, 90.00, 90.00 degrees
Fractional positions:
Zr (0.0000, 0.0000, 0.0000)
Zr (0.5000, 0.5000, 0.3015)
Si (0.5000, 0.5000, 0.7638)
Au (0.0000, 0.0000, 0.5622)